## Sc2CoCl (PBE-GGA)

Data for a geometry-optimized Sc2CoCl structure.

Cell and atoms, written as POSCAR:
```
Sc2CoCl
1.0
4.998 -1.570 0.000
4.998 1.570 0.000
-0.621 0.000 4.339
Sc Co Cl
2 1 1
Cartesian
0.000 0.000 0.000
6.841 0.000 2.459
2.490 0.000 0.270
4.212 0.000 2.057
```

Values from the calculation:
Size of the total moment in μB/f.u.: 0.00
Fermi-level density of states in states/eV/cell: 3.30
Distance to the lowest polymorph of the same formula in meV/atom: 262.1
Formation energy without anion corrections in eV/atom: -0.525